No. 1
PrNd2Zn3AgAu2 | OQMD via LeMat-Bulk | PBE | relaxed; ΔE_f = -4.78 eV per formula unit; total magnetization = 0.012 μB/cell; theoretical density = 9.14 g/cm3; E_tot = -3.5817 eV/atom
1.0
3.9579 0.0000 0.0000
0.0000 6.7005 3.8634
0.0000 -6.7005 3.8634
Pr Nd Zn Ag Au
1 2 3 1 2
Cartesian
0.0000 0.0000 0.0000
0.0000 -2.7282 3.0066
0.0000 2.7282 3.0066
1.9790 0.0000 2.6180
1.9790 -1.7131 5.5595
1.9790 1.7131 5.5595
0.0000 0.0000 4.5718
1.9790 -4.4537 4.5837
1.9790 4.4537 4.5837

No. 2
Nd2Si2AgAu | OQMD via LeMat-Bulk | PBE | relaxed; total magnetization = 0.002 μB/cell; theoretical density = 8.00 g/cm3; E_tot = -5.0827 eV/atom
1.0
4.3999 0.0000 0.0000
-2.2000 3.8104 0.0000
0.0000 0.0000 8.0406
Nd Si Ag Au
2 2 1 1
Cartesian
0.0000 0.0000 2.0059
0.0000 0.0000 6.0347
0.0000 2.5403 4.0203
2.2000 1.2701 0.0000
2.2000 1.2701 4.0203
0.0000 2.5403 0.0000

No. 3
TbNd2Zn3AgAu2 | OQMD via LeMat-Bulk | PBE | relaxed; ΔE_f = -4.94 eV per formula unit; total magnetization = 0.000 μB/cell; theoretical density = 9.55 g/cm3; E_tot = -3.5827 eV/atom
1.0
3.9195 0.0000 0.0000
0.0000 6.6171 3.8414
0.0000 -6.6171 3.8414
Tb Nd Zn Ag Au
1 2 3 1 2
Cartesian
0.0000 0.0000 0.0000
0.0000 -2.6967 4.7000
0.0000 2.6967 4.7000
1.9597 -1.6686 2.1358
1.9597 1.6686 2.1358
1.9597 0.0000 5.1101
0.0000 0.0000 3.1003
1.9597 -4.4664 3.1503
1.9597 4.4664 3.1503

No. 4
Ni2Ag3Au4 | OQMD via LeMat-Bulk | PBE | relaxed; ΔE_f = 0.67 eV per formula unit; total magnetization = 0.224 μB/cell; theoretical density = 13.70 g/cm3; E_tot = -3.5556 eV/atom
1.0
7.7539 0.0000 0.0000
-3.8770 6.7151 0.0000
0.0000 0.0000 2.8599
Ni Ag Au
2 3 4
Cartesian
0.0000 0.0000 0.0000
0.0000 4.4767 1.4299
1.3540 1.9572 1.4299
5.3819 0.1940 1.4299
4.8949 4.5639 1.4299
-1.0773 2.4985 0.0000
-1.1745 6.3988 0.0000
2.2518 4.5328 0.0000
3.8770 2.2384 0.0000

No. 5
Ag2Au2O5 | OQMD via LeMat-Bulk | PBE | relaxed; offset from the most stable computed form = 4.7 kJ per mole of atoms; theoretical density = 9.15 g/cm3; E_tot = -3.6232 eV/atom
1.0
3.7726 0.0000 0.0000
0.0000 3.7726 0.0000
0.0000 0.0000 8.7959
Ag Au O
2 2 5
Cartesian
0.0000 0.0000 2.1644
0.0000 0.0000 6.6315
1.8863 1.8863 0.0000
1.8863 1.8863 4.3980
0.0000 0.0000 4.3980
0.0000 1.8863 1.2985
0.0000 1.8863 7.4974
1.8863 0.0000 1.2985
1.8863 0.0000 7.4974

No. 6
Ag2Au2O5 | OQMD via LeMat-Bulk | PBE | relaxed; offset from the most stable computed form = 0.0 kJ per mole of atoms; theoretical density = 10.07 g/cm3; E_tot = -3.6723 eV/atom
1.0
4.0391 0.0000 0.0000
0.0000 4.0391 0.0000
0.0000 0.0000 6.9686
Ag Au O
2 2 5
Cartesian
0.0000 0.0000 0.0000
0.0000 0.0000 3.4843
2.0195 2.0195 1.3447
2.0195 2.0195 5.6239
0.0000 2.0195 1.7598
0.0000 2.0195 5.2087
2.0195 0.0000 1.7598
2.0195 0.0000 5.2087
2.0195 2.0195 3.4843

Q: Which of these has the highest theoretical density?
A: Ni2Ag3Au4